No. 1
Below is an optimized crystal structure of CsSbBr2, with properties calculated at the GGA-PBE level.

Summary:
- ΔE to the lowest computed polymorph: 46 meV per atom
- Uncorrected energy: -2.729 eV per atom
- Theoretical density: 3.521 g/cm3
- DOS(E_F): 0.0 states/eV/f.u.
- ΔE_f (raw): -0.65 eV/atom

abc: 6.511 6.511 10.305
angles: 71.58 71.58 90.00
Element x y z (fractional)
Cs 0.750 0.250 0.500
Cs 0.000 0.000 0.000
Sb 0.250 0.750 0.500
Br 0.875 0.769 0.750
Br 0.231 0.625 0.250
Br 0.375 0.481 0.750
Sb 0.500 0.500 0.000
Br 0.519 0.125 0.250



No. 2
Below is an optimized crystal structure of CsSbBr2, with properties calculated at the GGA-PBE level.

Summary:
- ΔE to the lowest computed polymorph: 0 meV per atom
- Uncorrected energy: -2.775 eV per atom
- Theoretical density: 4.246 g/cm3
- DOS(E_F): 1.0 states/eV/f.u.
- ΔE_f (raw): -0.69 eV/atom

abc: 10.872 10.872 10.872
angles: 22.29 22.29 22.29
Element x y z (fractional)
Cs 0.500 0.500 0.500
Br 0.088 0.088 0.088
Br 0.912 0.912 0.912
Sb 0.000 0.000 0.000



No. 3
Below is an optimized crystal structure of CsSb3Br, with properties calculated at the GGA-PBE level.

Summary:
- ΔE to the lowest computed polymorph: 971 meV per atom
- Uncorrected energy: -1.531 eV per atom
- Theoretical density: 3.891 g/cm3
- DOS(E_F): 10.0 states/eV/f.u.
- ΔE_f (raw): 1.45 eV/atom

abc: 6.272 6.272 6.272
angles: 90.00 90.00 90.00
Element x y z (fractional)
Br 0.500 0.500 0.500
Cs 0.000 0.000 0.000
Sb 0.000 0.500 0.000
Sb 0.500 0.000 0.000
Sb 0.000 0.000 0.500



No. 4
Below is an optimized crystal structure of Cs3Sb2Br8, with properties calculated at the GGA-PBE level.

Summary:
- Uncorrected energy: -2.922 eV per atom
- Theoretical density: 3.528 g/cm3
- DOS(E_F): 2.6 states/eV/f.u.
- ΔE_f (raw): -1.06 eV/atom

abc: 8.593 8.593 10.656
angles: 66.22 66.22 60.00
Each line ends with the local moment (μB).
Element x y z (fractional)
Br 0.258 0.811 0.673  0.01
Cs 0.216 0.216 0.351  0.01
Br 0.659 0.659 0.023  0.12
Sb 0.441 0.441 0.676  0.14
Br 0.189 0.742 0.327  0.01
Br 0.258 0.258 0.673  0.01
Cs 0.784 0.784 0.649  0.01
Sb 0.559 0.559 0.324  0.14
Cs 0.000 0.000 0.000  0.00
Br 0.742 0.742 0.327  0.01
Br 0.341 0.341 0.977  0.12
Br 0.742 0.189 0.327  0.01
Br 0.811 0.258 0.673  0.01